(1)
Here is a relaxed Y2SiAs crystal from Alexandria via LeMat-Bulk. Energies are from GGA-PBE.

abc: 5.2173 5.2173 5.2173
angles: 130.63 115.81 85.04
Closest atoms and distances in Å follow each position.
Fractional positions:
As1 0.7500 0.2500 0.5000  4 Y 2.90
Si1 0.2500 0.7500 0.5000  4 Y 2.91
Y1 0.9983 0.9983 0.0000  2 As 2.90, 2 Si 2.91
Y2 0.5017 0.5017 0.0000  2 As 2.90, 2 Si 2.91

Results
- offset from the most stable computed form (meV/atom) = 407
- energy relative to the elements, uncorrected (kJ per mole of atoms) = -73.61

(2)
Here is a relaxed Y2SiAs crystal from Alexandria via LeMat-Bulk. Energies are from GGA-PBE.

abc: 3.7362 3.5539 7.2702
angles: 74.66 90.00 90.00
Closest atoms and distances in Å follow each position.
Fractional positions:
As1 0.5000 0.2500 0.2500  4 Y 2.88
Si1 0.5000 0.7500 0.7500  4 Y 2.93
Y1 0.0000 0.0139 0.0010  2 As 2.88, 2 Si 2.93
Y2 0.0000 0.4861 0.4990  2 As 2.88, 2 Si 2.93

Results
- offset from the most stable computed form (meV/atom) = 388
- energy relative to the elements, uncorrected (kJ per mole of atoms) = -75.40

(3)
Here is a relaxed Y2SiAs crystal from Alexandria via LeMat-Bulk. Energies are from GGA-PBE.

abc: 7.5958 7.5958 6.3792
angles: 53.46 53.46 90.00
Closest atoms and distances in Å follow each position.
Fractional positions:
Y1 0.6264 0.1250 0.2500  2 As 2.81, 2 Si 2.83
Y2 0.1236 0.6250 0.2500  2 As 2.81, 2 Si 2.83
Y3 0.3750 0.3736 0.7500  2 As 2.81, 2 Si 2.83
Y4 0.8750 0.8764 0.7500  2 As 2.81, 2 Si 2.83
As1 0.0000 0.0000 0.0000  4 Y 2.81
As2 0.7500 0.2500 0.5000  4 Y 2.81
Si1 0.5000 0.5000 0.0000  4 Y 2.83
Si2 0.2500 0.7500 0.5000  4 Y 2.83

Results
- offset from the most stable computed form (meV/atom) = 473
- energy relative to the elements, uncorrected (kJ per mole of atoms) = -67.26

(4)
Here is a relaxed Y2SiAs crystal from Alexandria via LeMat-Bulk. Energies are from GGA-PBE.

abc: 3.5373 3.5373 7.5751
angles: 90.00 90.00 102.32
Closest atoms and distances in Å follow each position.
Fractional positions:
As1 0.5000 0.5000 0.2500  4 Y 2.90
Si1 0.5000 0.5000 0.7500  4 Y 2.93
Y1 0.0000 0.0000 0.0028  2 As 2.90, 2 Si 2.93
Y2 0.0000 0.0000 0.4972  2 As 2.90, 2 Si 2.93

Results
- offset from the most stable computed form (meV/atom) = 387
- energy relative to the elements, uncorrected (kJ per mole of atoms) = -75.50

(5)
Here is a relaxed YSiAs4 crystal from Alexandria via LeMat-Bulk. Energies are from GGA-PBE.

abc: 5.5901 5.5901 5.5901
angles: 60.00 60.00 60.00
Closest atoms and distances in Å follow each position.
Fractional positions:
Y1 0.0000 0.0000 0.0000  12 As 3.28, 4 Si 3.42
Si1 0.7500 0.7500 0.7500  12 As 3.28, 4 Y 3.42
As1 0.8735 0.3755 0.3755  6 As 2.78-2.81
As2 0.3755 0.3755 0.8735  6 As 2.78-2.81
As3 0.3755 0.8735 0.3755  6 As 2.78-2.81
As4 0.3755 0.3755 0.3755  6 As 2.78-2.81

Results
- energy relative to the elements, uncorrected (kJ per mole of atoms) = 6.63

(6)
Here is a relaxed Y2SiAs crystal from Alexandria via LeMat-Bulk. Energies are from GGA-PBE.

abc: 4.0163 4.0163 7.4404
angles: 74.37 74.37 59.97
Closest atoms and distances in Å follow each position.
Fractional positions:
As1 0.7500 0.7500 0.7500  6 Y 2.89
Si1 0.2500 0.2500 0.2500  6 Y 2.95
Y1 0.0024 0.0024 0.9929  3 As 2.89, 3 Si 2.95
Y2 0.4976 0.4976 0.5071  3 As 2.89, 3 Si 2.95

Results
- offset from the most stable computed form (meV/atom) = 153
- energy relative to the elements, uncorrected (kJ per mole of atoms) = -98.08

(7)
Here is a relaxed Y2Si2As crystal from Alexandria via LeMat-Bulk. Energies are from GGA-PBE.

abc: 7.1809 7.1809 4.1172
angles: 90.00 90.00 90.00
Closest atoms and distances in Å follow each position.
Fractional positions:
Y1 0.1796 0.6796 0.5000  6 Si 2.92-2.99
Y2 0.6796 0.8204 0.5000  6 Si 2.92-2.99
Y3 0.8204 0.3204 0.5000  6 Si 2.92-2.99
Y4 0.3204 0.1796 0.5000  6 Si 2.92-2.99
As1 0.0000 0.0000 0.0000  4 Si 2.88
As2 0.5000 0.5000 0.0000  4 Si 2.88
Si1 0.3834 0.8834 0.0000  1 Si 2.37
Si2 0.8834 0.6166 0.0000  1 Si 2.37
Si3 0.6166 0.1166 0.0000  1 Si 2.37
Si4 0.1166 0.3834 0.0000  1 Si 2.37

Results
- energy relative to the elements, uncorrected (kJ per mole of atoms) = -66.64

(8)
Here is a relaxed Y2SiAs crystal from Alexandria via LeMat-Bulk. Energies are from GGA-PBE.

abc: 7.1397 5.2153 3.5281
angles: 80.71 75.03 126.67
Closest atoms and distances in Å follow each position.
Fractional positions:
As1 0.0000 0.5000 0.5000  4 Y 2.90
Si1 0.5000 0.5000 0.0000  4 Y 2.90
Y1 0.0000 0.0000 0.0000  2 As 2.90, 2 Si 2.90
Y2 0.5000 0.0000 0.5000  2 Si 2.90, 2 As 2.90

Results
- offset from the most stable computed form (meV/atom) = 392
- energy relative to the elements, uncorrected (kJ per mole of atoms) = -75.01

(9)
Here is a relaxed Y2SiAs crystal from Alexandria via LeMat-Bulk. Energies are from GGA-PBE.

abc: 6.0382 6.0385 6.0385
angles: 139.94 139.94 57.95
Closest atoms and distances in Å follow each position.
Fractional positions:
As1 0.5000 0.5000 0.0000  4 Y 2.92-2.93
Si1 0.2501 0.7501 0.5000  4 Y 2.92-2.93
Y1 0.9999 0.9999 0.9999  4 As 2.92-2.93
Y2 0.7500 0.2500 0.5001  4 Si 2.92-2.93

Results
- offset from the most stable computed form (meV/atom) = 375
- energy relative to the elements, uncorrected (kJ per mole of atoms) = -76.71

(10)
Here is a relaxed ZnSiAs2 crystal from Alexandria via LeMat-Bulk. Energies are from GGA-PBE.

abc: 6.8961 6.8961 6.8961
angles: 33.82 33.82 33.82
Closest atoms and distances in Å follow each position.
Fractional positions:
As1 0.9986 0.9986 0.9986  1 Si 2.32, 3 Zn 2.40
As2 0.5010 0.5010 0.5010  3 Si 2.51, 1 Zn 2.57
Si1 0.1178 0.1178 0.1178  4 As 2.32-2.51
Zn1 0.6326 0.6326 0.6326  4 As 2.40-2.57

Results
- offset from the most stable computed form (meV/atom) = 99
- energy relative to the elements, uncorrected (kJ per mole of atoms) = -9.53

(11)
Here is a relaxed ZnSiAs2 crystal from Alexandria via LeMat-Bulk. Energies are from GGA-PBE.

abc: 3.6368 3.6368 6.6961
angles: 74.61 74.61 60.11
Closest atoms and distances in Å follow each position.
Fractional positions:
As1 0.0078 0.0078 0.9801  3 Si 2.56, 3 Zn 2.70-2.72
As2 0.4922 0.4922 0.5199  3 Si 2.56, 3 Zn 2.70-2.72
Si1 0.7500 0.7500 0.7500  6 As 2.56
Zn1 0.2500 0.2500 0.2500  6 As 2.70-2.72

Results
- offset from the most stable computed form (meV/atom) = 280
- energy relative to the elements, uncorrected (kJ per mole of atoms) = 7.92

(12)
Here is a relaxed ZnSiAs2 crystal from Alexandria via LeMat-Bulk. Energies are from GGA-PBE.

abc: 5.9308 5.9308 5.9308
angles: 144.97 141.76 52.82
Closest atoms and distances in Å follow each position.
Fractional positions:
As1 0.9284 0.9284 0.0000  2 Si 2.60, 2 Zn 2.71
As2 0.5716 0.5716 0.0000  2 Si 2.60, 2 Zn 2.71
Si1 0.7500 0.2500 0.5000  4 As 2.60, 4 Zn 2.64
Zn1 0.2500 0.7500 0.5000  4 Si 2.64, 4 As 2.71

Results
- offset from the most stable computed form (meV/atom) = 453
- energy relative to the elements, uncorrected (kJ per mole of atoms) = 24.62

(13)
Here is a relaxed Zn2SiAs crystal from Alexandria via LeMat-Bulk. Energies are from GGA-PBE.

abc: 3.3546 2.7218 7.4635
angles: 90.00 90.00 90.00
Closest atoms and distances in Å follow each position.
Fractional positions:
As1 0.5000 0.2500 0.2500  4 Zn 2.66, 2 As 2.72
Si1 0.5000 0.7500 0.7500  2 Si 2.72, 8 Zn 2.73
Zn1 0.0000 0.2497 0.9730  2 As 2.66, 2 Zn 2.72, 4 Si 2.73
Zn2 0.0000 0.2503 0.5270  2 As 2.66, 2 Zn 2.72, 4 Si 2.73

Results
- energy relative to the elements, uncorrected (kJ per mole of atoms) = 20.59

(14)
Here is a relaxed ZnSiAs2 crystal from Alexandria via LeMat-Bulk. Energies are from GGA-PBE.

abc: 3.7551 5.3174 3.6601
angles: 90.00 90.00 90.00
Closest atoms and distances in Å follow each position.
Fractional positions:
As1 0.0000 0.0000 0.0000  4 Si 2.62
As2 0.5000 0.5000 0.0000  4 Zn 2.62
Si1 0.5000 0.0000 0.5000  4 As 2.62
Zn1 0.0000 0.5000 0.5000  4 As 2.62

Results
- offset from the most stable computed form (meV/atom) = 594
- energy relative to the elements, uncorrected (kJ per mole of atoms) = 38.23

(15)
Here is a relaxed ZnSiAs2 crystal from Alexandria via LeMat-Bulk. Energies are from GGA-PBE.

abc: 3.7219 2.6640 7.6563
angles: 75.96 90.00 90.00
Closest atoms and distances in Å follow each position.
Fractional positions:
As1 0.0000 0.4136 0.0046  2 Si 2.61, 2 As 2.66, 2 Zn 2.69
As2 0.0000 0.0864 0.4954  2 Si 2.61, 2 As 2.66, 2 Zn 2.69
Si1 0.5000 0.2500 0.2500  4 As 2.61, 2 Si 2.66
Zn1 0.5000 0.7500 0.7500  2 Zn 2.66, 4 As 2.69

Results
- offset from the most stable computed form (meV/atom) = 337
- energy relative to the elements, uncorrected (kJ per mole of atoms) = 13.42